Na2InTe3 | PBE-GGA | relaxed

Unit cell a=3.986 b=6.353 c=14.751 alpha=90.00 beta=90.00 gamma=90.00
Fractional coordinates of all 12 atoms:
Na (0.000, 0.000, 0.172)
Na (0.000, 0.000, 0.828)
Na (0.500, 0.500, 0.328)
Na (0.500, 0.500, 0.672)
In (0.000, 0.000, 0.500)
In (0.500, 0.500, 0.000)
Te (0.000, 0.500, 0.146)
Te (0.000, 0.500, 0.500)
Te (0.000, 0.500, 0.854)
Te (0.500, 0.000, 0.000)
Te (0.500, 0.000, 0.354)
Te (0.500, 0.000, 0.646)

ΔE_f (raw), eV/f.u.: -3.0
M_tot, μB/f.u.: 0.00
Calculated volume, Å³/f.u.: 186.8
Symmetry: Immm


Na3InTe3 | PBE-GGA | relaxed

Unit cell a=8.365 b=8.365 c=7.823 alpha=93.48 beta=93.48 gamma=115.46
Fractional coordinates of all 14 atoms:
Na (0.172, 0.828, 0.000)
Na (0.236, 0.764, 0.500)
Na (0.429, 0.429, 0.171)
Na (0.571, 0.571, 0.829)
Na (0.764, 0.236, 0.500)
Na (0.828, 0.172, 0.000)
In (0.190, 0.190, 0.632)
In (0.810, 0.810, 0.368)
Te (0.113, 0.113, 0.269)
Te (0.153, 0.480, 0.774)
Te (0.480, 0.153, 0.774)
Te (0.520, 0.847, 0.226)
Te (0.847, 0.520, 0.226)
Te (0.887, 0.887, 0.731)

ΔE to the lowest computed polymorph, meV/atom: 19.4
ΔE_f (raw), eV/f.u.: -4.8
M_tot, μB/f.u.: 0.00
Calculated volume, Å³/f.u.: 245.5
Symmetry: C2/m


Na2In2Te | PBE-GGA | relaxed

Unit cell a=4.578 b=4.578 c=14.693 alpha=90.00 beta=90.00 gamma=90.00
Fractional coordinates of all 10 atoms:
Na (0.000, 0.500, 0.250)
Na (0.000, 0.500, 0.750)
Na (0.500, 0.000, 0.250)
Na (0.500, 0.000, 0.750)
In (0.000, 0.000, 0.093)
In (0.000, 0.000, 0.907)
In (0.500, 0.500, 0.407)
In (0.500, 0.500, 0.593)
Te (0.000, 0.000, 0.500)
Te (0.500, 0.500, 0.000)

ΔE to the lowest computed polymorph, meV/atom: 104.1
ΔE_f (raw), eV/f.u.: -0.4
M_tot, μB/f.u.: 0.00
Calculated volume, Å³/f.u.: 154.0
Symmetry: I4/mmm


NaInTe | PBE-GGA | relaxed

Unit cell a=7.679 b=7.679 c=7.679 alpha=90.00 beta=90.00 gamma=90.00
Fractional coordinates of all 12 atoms:
Na (0.000, 0.000, 0.000)
Na (0.000, 0.500, 0.500)
Na (0.500, 0.000, 0.500)
Na (0.500, 0.500, 0.000)
In (0.000, 0.000, 0.500)
In (0.000, 0.500, 0.000)
In (0.500, 0.000, 0.000)
In (0.500, 0.500, 0.500)
Te (0.250, 0.250, 0.250)
Te (0.250, 0.750, 0.750)
Te (0.750, 0.250, 0.750)
Te (0.750, 0.750, 0.250)

ΔE to the lowest computed polymorph, meV/atom: 126.0
ΔE_f (raw), eV/f.u.: -1.3
M_tot, μB/f.u.: 0.00
Calculated volume, Å³/f.u.: 113.2
Symmetry: F-43m


Na5In2Te5 | PBE-GGA | relaxed

Unit cell a=7.742 b=7.742 c=12.785 alpha=107.57 beta=107.57 gamma=33.70
Fractional coordinates of all 12 atoms:
Na (0.000, 0.000, 0.000)
Na (0.156, 0.156, 0.544)
Na (0.238, 0.238, 0.859)
Na (0.762, 0.762, 0.141)
Na (0.844, 0.844, 0.456)
In (0.454, 0.454, 0.709)
In (0.546, 0.546, 0.291)
Te (0.181, 0.181, 0.299)
Te (0.392, 0.392, 0.096)
Te (0.500, 0.500, 0.500)
Te (0.608, 0.608, 0.904)
Te (0.819, 0.819, 0.701)

ΔE_f (raw), eV/f.u.: -8.1
M_tot, μB/f.u.: 0.00
Calculated volume, Å³/f.u.: 403.5
Symmetry: C2/m


NaIn2Te2 | PBE-GGA | relaxed

Unit cell a=8.301 b=8.301 c=7.857 alpha=112.28 beta=112.28 gamma=105.37
Fractional coordinates of all 10 atoms:
Na (0.164, 0.836, 0.750)
Na (0.836, 0.164, 0.250)
In (0.223, 0.314, 0.242)
In (0.314, 0.223, 0.742)
In (0.686, 0.777, 0.258)
In (0.777, 0.686, 0.758)
Te (0.084, 0.916, 0.250)
Te (0.394, 0.606, 0.750)
Te (0.606, 0.394, 0.250)
Te (0.916, 0.084, 0.750)

ΔE to the lowest computed polymorph, meV/atom: 81.0
ΔE_f (raw), eV/f.u.: -1.4
M_tot, μB/f.u.: 0.00
Calculated volume, Å³/f.u.: 203.7
Symmetry: C2/c